# RbBa2V2O7, optimized geometry, DFT PBE with a Hubbard U
# uncorrected energy: -6.726 eV/atom
# spin magnetization: 0.0833 μB per atom
data_RbBa2V2O7
_space_group_name_H-M_alt 'R 3 2'
_space_group_IT_number 155
_space_group_name_Hall 'R 3 2"'
_cell_length_a 6.6236
_cell_length_b 6.6236
_cell_length_c 24.0370
_cell_angle_alpha 90.00
_cell_angle_beta 90.00
_cell_angle_gamma 120.00
loop_
_atom_site_label
_atom_site_type_symbol
_atom_site_fract_x
_atom_site_fract_y
_atom_site_fract_z
_atom_site_occupancy
Rb1 Rb 0.0000 0.0000 0.0000 1
Ba1 Ba 0.0000 0.0000 0.2876 1
V1 V 0.0000 0.0000 0.4246 1
O1 O 0.0000 0.0000 0.5000 1
O2 O 0.9995 0.2443 0.3952 1